Crystalline AlPtO2 at its relaxed geometry. Source: Alexandria, functional GGA-PBEsol.

The value obtained for the density is 10.21 g/cm3. The formation energy without anion corrections comes out at -2.00 eV/atom. The value obtained for the total energy is -29.560 eV/cell.

extended XYZ file:
```
4
Lattice="1.412 0.815 5.982 -1.412 0.815 5.982 0.000 -1.630 5.982" Properties=species:S:1:pos:R:3 pbc="T T T"
Al 0.000 0.000 0.000
Pt 0.000 0.000 8.973
O 0.000 0.000 6.945
O 0.000 0.000 11.002
```

=====

Crystalline ZrBeIn at its relaxed geometry. Source: Alexandria, functional GGA-PBEsol.

The value obtained for the density is 6.42 g/cm3. As for the formation energy: 0.288 eV per atom. The value obtained for the total energy is -15.208 eV/cell.

extended XYZ file:
```
3
Lattice="3.042 0.000 0.000 -1.521 2.635 0.000 0.000 0.000 6.939" Properties=species:S:1:pos:R:3 pbc="T T T"
Zr 0.000 0.000 0.000
Be 0.000 1.757 4.750
In 1.521 0.878 2.645
```

=====

Crystalline ScZn2Os at its relaxed geometry. Source: Alexandria, functional GGA-PBEsol.

The value obtained for the density is 10.03 g/cm3. As for the formation energy: -0.065 eV per atom. As for the relative energy among the computed polymorphs: 218 meV/atom. The value obtained for the total energy is -22.243 eV/cell.

extended XYZ file:
```
4
Lattice="0.000 3.118 3.118 3.118 0.000 3.118 3.118 3.118 0.000" Properties=species:S:1:pos:R:3 pbc="T T T"
Sc 0.000 0.000 0.000
Zn 3.118 3.118 3.118
Zn 4.676 4.676 4.676
Os 1.559 1.559 1.559
```

=====

Crystalline Cd3GePb at its relaxed geometry. Source: Alexandria, functional GGA-PBEsol.

The value obtained for the density is 7.52 g/cm3. As for the formation energy: 0.398 eV per atom. The value obtained for the total energy is -10.537 eV/cell.

extended XYZ file:
```
5
Lattice="5.146 0.000 0.000 0.000 5.146 0.000 0.000 0.000 5.146" Properties=species:S:1:pos:R:3 pbc="T T T"
Cd 0.000 0.000 2.573
Cd 0.000 2.573 0.000
Cd 2.573 0.000 0.000
Ge 0.000 0.000 0.000
Pb 2.573 2.573 2.573
```

=====

Crystalline MnInCo2 at its relaxed geometry. Source: Alexandria, functional GGA-PBEsol.

The value obtained for the density is 9.12 g/cm3. As for the formation energy: 0.236 eV per atom. The value obtained for the total energy is -27.276 eV/cell.

extended XYZ file:
```
4
Lattice="4.140 -1.396 0.000 4.140 1.396 0.000 -1.103 0.000 4.531" Properties=species:S:1:pos:R:3 pbc="T T T"
Mn 0.000 0.000 0.000
In 3.588 0.000 2.265
Co 1.304 0.000 3.584
Co 5.872 0.000 0.947
```

=====

Crystalline NbPbI3 at its relaxed geometry. Source: Alexandria, functional GGA-PBEsol.

The value obtained for the density is 5.13 g/cm3. The formation energy without anion corrections comes out at 0.85 eV/atom. The value obtained for the total energy is -15.847 eV/cell.

extended XYZ file:
```
5
Lattice="6.040 0.000 0.000 0.000 6.040 0.000 0.000 0.000 6.040" Properties=species:S:1:pos:R:3 pbc="T T T"
Nb 0.000 0.000 0.000
Pb 3.020 3.020 3.020
I 0.000 3.020 3.020
I 3.020 0.000 3.020
I 3.020 3.020 0.000
```

=====

- Look up the total energy of the third one.
  -22.243 eV/cell

=====

- Which of these has the lowest total energy?
  AlPtO2

=====

- Which value of total energy does entry 6 give?
  -15.847 eV/cell